*P*
The following is a PBE-GGA calculation of a relaxed structure of ErPuTlPb, from Alexandria via LeMat-Bulk.

a = 5.404 Å, b = 5.404 Å, c = 5.404 Å
α = 60.00°, β = 60.00°, γ = 60.00°
Each line ends with the local moment (μB).
Atoms (fractional coordinates):
Pb1 0.500 0.500 0.500  -0.02
Tl1 0.000 0.000 0.000  0.00
Er1 0.250 0.250 0.250  0.27
Pu1 0.750 0.750 0.750  5.53

Theoretical density in g/cm³: 12.243



*Q*
The following is a PBE-GGA calculation of a relaxed structure of ErPuTlPb, from Alexandria via LeMat-Bulk.

a = 3.449 Å, b = 3.449 Å, c = 9.194 Å
α = 90.00°, β = 90.00°, γ = 90.00°
Each line ends with the local moment (μB).
Atoms (fractional coordinates):
Er1 0.500 0.500 0.609  0.17
Pu1 0.500 0.500 0.105  5.63
Tl1 0.000 0.000 0.852  0.00
Pb1 0.000 0.000 0.362  -0.02

Theoretical density in g/cm³: 12.493



Stability ranking, top entry: *Q*; the second entry is 38 meV per atom less favorable.



*P*
The following is a PBE-GGA calculation of a relaxed structure of Er3RhPb, from Alexandria via LeMat-Bulk.

a = 5.650 Å, b = 7.214 Å, c = 6.700 Å
α = 90.00°, β = 90.00°, γ = 103.04°
Atoms (fractional coordinates):
Er1 0.824 0.202 0.991
Er2 0.176 0.798 0.491
Er3 0.637 0.608 0.750
Er4 0.363 0.392 0.250
Er5 0.176 0.798 0.009
Er6 0.824 0.202 0.509
Rh1 0.892 0.492 0.250
Rh2 0.108 0.508 0.750
Pb1 0.680 0.825 0.250
Pb2 0.320 0.175 0.750

Theoretical density in g/cm³: 10.135



*Q*
The following is a PBE-GGA calculation of a relaxed structure of Er3RhPb, from Alexandria via LeMat-Bulk.

a = 6.437 Å, b = 9.075 Å, c = 10.815 Å
α = 114.81°, β = 113.67°, γ = 90.00°
Atoms (fractional coordinates):
Er1 0.148 0.814 0.691
Er2 0.648 0.877 0.691
Er3 0.352 0.123 0.309
Er4 0.852 0.186 0.309
Er5 0.115 0.735 0.271
Er6 0.615 0.536 0.271
Er7 0.385 0.464 0.729
Er8 0.885 0.265 0.729
Er9 0.042 0.285 0.074
Er10 0.542 0.789 0.074
Er11 0.458 0.211 0.926
Er12 0.958 0.715 0.926
Rh1 0.250 0.499 0.000
Rh2 0.250 0.005 0.000
Rh3 0.750 0.501 0.000
Rh4 0.750 0.995 0.000
Pb1 0.228 0.513 0.429
Pb2 0.728 0.916 0.429
Pb3 0.272 0.084 0.571
Pb4 0.772 0.487 0.571

Theoretical density in g/cm³: 10.485



Stability ranking, top entry: *Q*; the second entry is 15 meV per atom less favorable.



*P*
The following is a PBE-GGA calculation of a relaxed structure of Er5RhPb2, from Alexandria via LeMat-Bulk.

a = 4.530 Å, b = 7.969 Å, c = 12.139 Å
α = 90.00°, β = 90.00°, γ = 90.00°
Atoms (fractional coordinates):
Er1 0.000 0.000 0.500
Er2 0.000 0.500 0.000
Er3 0.000 0.858 0.200
Er4 0.000 0.142 0.800
Er5 0.000 0.642 0.700
Er6 0.000 0.358 0.300
Er7 0.500 0.684 0.432
Er8 0.500 0.316 0.568
Er9 0.500 0.816 0.932
Er10 0.500 0.184 0.068
Rh1 0.000 0.500 0.500
Rh2 0.000 0.000 0.000
Pb1 0.500 0.571 0.173
Pb2 0.500 0.429 0.827
Pb3 0.500 0.929 0.673
Pb4 0.500 0.071 0.327

Theoretical density in g/cm³: 10.258



*Q*
The following is a PBE-GGA calculation of a relaxed structure of Er5RhPb2, from Alexandria via LeMat-Bulk.

a = 5.554 Å, b = 8.374 Å, c = 13.621 Å
α = 90.00°, β = 90.00°, γ = 109.37°
Atoms (fractional coordinates):
Er1 0.945 0.891 0.883
Er2 0.945 0.891 0.617
Er3 0.282 0.563 0.406
Er4 0.282 0.563 0.094
Er5 0.709 0.418 0.250
Er6 0.291 0.582 0.750
Er7 0.718 0.437 0.594
Er8 0.718 0.437 0.906
Er9 0.055 0.109 0.117
Er10 0.055 0.109 0.383
Rh1 0.824 0.648 0.750
Rh2 0.176 0.352 0.250
Pb1 0.861 0.722 0.414
Pb2 0.861 0.722 0.086
Pb3 0.139 0.278 0.586
Pb4 0.139 0.278 0.914

Theoretical density in g/cm³: 7.522



Stability ranking, top entry: *P*; the second entry is 451 meV per atom less favorable.



*P*
The following is a PBE-GGA calculation of a relaxed structure of ErScRhPb, from Alexandria via LeMat-Bulk.

a = 3.392 Å, b = 3.392 Å, c = 7.742 Å
α = 90.00°, β = 90.00°, γ = 90.00°
Atoms (fractional coordinates):
Er1 0.500 0.500 0.778
Sc1 0.500 0.500 0.366
Rh1 0.000 0.000 0.554
Pb1 0.000 0.000 0.087

Theoretical density in g/cm³: 9.739



*Q*
The following is a PBE-GGA calculation of a relaxed structure of ErScRhPb, from Alexandria via LeMat-Bulk.

a = 4.990 Å, b = 4.990 Å, c = 4.990 Å
α = 60.00°, β = 60.00°, γ = 60.00°
Atoms (fractional coordinates):
Pb1 0.000 0.000 0.000
Sc1 0.750 0.750 0.750
Rh1 0.500 0.500 0.500
Er1 0.250 0.250 0.250

Theoretical density in g/cm³: 9.872



Stability ranking, top entry: *P*; the second entry is 164 meV per atom less favorable.



*P*
The following is a PBE-GGA calculation of a relaxed structure of ErTmRhPb, from Alexandria via LeMat-Bulk.

a = 3.457 Å, b = 3.457 Å, c = 7.930 Å
α = 90.00°, β = 90.00°, γ = 90.00°
Atoms (fractional coordinates):
Er1 0.500 0.500 0.777
Tm1 0.500 0.500 0.365
Rh1 0.000 0.000 0.569
Pb1 0.000 0.000 0.073

Theoretical density in g/cm³: 11.324



*Q*
The following is a PBE-GGA calculation of a relaxed structure of ErTmRhPb, from Alexandria via LeMat-Bulk.

a = 5.093 Å, b = 5.093 Å, c = 5.093 Å
α = 60.00°, β = 60.00°, γ = 60.00°
Atoms (fractional coordinates):
Pb1 0.500 0.500 0.500
Tm1 0.250 0.250 0.250
Rh1 0.000 0.000 0.000
Er1 0.750 0.750 0.750

Theoretical density in g/cm³: 11.488



Stability ranking, top entry: *P*; the second entry is 176 meV per atom less favorable.



*P*
The following is a PBE-GGA calculation of a relaxed structure of Er4Ru2Pb, from Alexandria via LeMat-Bulk.

a = 5.049 Å, b = 5.049 Å, c = 14.946 Å
α = 90.00°, β = 90.00°, γ = 120.03°
Atoms (fractional coordinates):
Er1 0.167 0.833 0.880
Er2 0.167 0.833 0.620
Er3 0.833 0.167 0.120
Er4 0.833 0.167 0.380
Er5 0.166 0.834 0.250
Er6 0.834 0.166 0.750
Er7 0.500 0.500 0.000
Er8 0.500 0.500 0.500
Ru1 0.834 0.166 0.561
Ru2 0.166 0.834 0.061
Ru3 0.834 0.166 0.939
Ru4 0.166 0.834 0.439
Pb1 0.499 0.501 0.250
Pb2 0.501 0.499 0.750

Theoretical density in g/cm³: 10.857



*Q*
The following is a PBE-GGA calculation of a relaxed structure of Er4Ru2Pb, from Alexandria via LeMat-Bulk.

a = 7.846 Å, b = 8.359 Å, c = 6.029 Å
α = 100.96°, β = 97.90°, γ = 116.04°
Atoms (fractional coordinates):
Er1 0.895 0.313 0.402
Er2 0.335 0.426 0.292
Er3 0.823 0.700 0.499
Er4 0.740 0.118 0.804
Er5 0.417 0.033 0.214
Er6 0.261 0.162 0.711
Er7 0.553 0.647 0.916
Er8 0.972 0.590 0.009
Ru1 0.617 0.368 0.610
Ru2 0.615 0.864 0.374
Ru3 0.619 0.363 0.095
Ru4 0.156 0.427 0.822
Pb1 0.271 0.752 0.592
Pb2 0.976 0.988 0.161

Theoretical density in g/cm³: 10.607



Stability ranking, top entry: *Q*; the second entry is 87 meV per atom less favorable.



*P*
The following is a PBE-GGA calculation of a relaxed structure of Er7Ru2Pb2, from Alexandria via LeMat-Bulk.

a = 3.685 Å, b = 9.712 Å, c = 9.712 Å
α = 60.33°, β = 79.06°, γ = 79.06°
Atoms (fractional coordinates):
Er1 0.817 0.084 0.282
Er2 0.845 0.409 0.900
Er3 0.500 0.037 0.963
Er4 0.632 0.462 0.274
Er5 0.368 0.726 0.538
Er6 0.183 0.718 0.916
Er7 0.155 0.100 0.591
Ru1 0.742 0.854 0.662
Ru2 0.258 0.338 0.146
Pb1 0.000 0.769 0.231
Pb2 0.500 0.356 0.644

Theoretical density in g/cm³: 10.071



*Q*
The following is a PBE-GGA calculation of a relaxed structure of Er7Ru2Pb2, from Alexandria via LeMat-Bulk.

a = 6.734 Å, b = 7.250 Å, c = 6.734 Å
α = 90.00°, β = 105.29°, γ = 90.00°
Atoms (fractional coordinates):
Er1 0.000 0.240 0.500
Er2 0.500 0.760 0.000
Er3 0.000 0.760 0.500
Er4 0.500 0.240 0.000
Er5 0.000 0.000 0.000
Er6 0.500 0.774 0.500
Er7 0.500 0.226 0.500
Ru1 0.714 0.000 0.286
Ru2 0.286 0.000 0.714
Pb1 0.809 0.500 0.809
Pb2 0.191 0.500 0.191

Theoretical density in g/cm³: 9.358



Stability ranking, top entry: *P*; the second entry is 113 meV per atom less favorable.



*P*
The following is a PBE-GGA calculation of a relaxed structure of SmErRuPb, from Alexandria via LeMat-Bulk.

a = 5.151 Å, b = 5.151 Å, c = 5.151 Å
α = 60.00°, β = 60.00°, γ = 60.00°
Atoms (fractional coordinates):
Pb1 0.250 0.250 0.250
Ru1 0.750 0.750 0.750
Sm1 0.000 0.000 0.000
Er1 0.500 0.500 0.500

Theoretical density in g/cm³: 10.752



*Q*
The following is a PBE-GGA calculation of a relaxed structure of SmErRuPb, from Alexandria via LeMat-Bulk.

a = 3.439 Å, b = 3.439 Å, c = 8.330 Å
α = 90.00°, β = 90.00°, γ = 90.00°
Atoms (fractional coordinates):
Sm1 0.500 0.500 0.773
Er1 0.500 0.500 0.370
Ru1 0.000 0.000 0.561
Pb1 0.000 0.000 0.080

Theoretical density in g/cm³: 10.552



Stability ranking, top entry: *Q*; the second entry is 205 meV per atom less favorable.



*P*
The following is a PBE-GGA calculation of a relaxed structure of Er2ScPb, from Alexandria via LeMat-Bulk.

a = 5.210 Å, b = 6.558 Å, c = 6.554 Å
α = 99.70°, β = 90.00°, γ = 90.00°
Atoms (fractional coordinates):
Er1 0.250 0.933 0.651
Er2 0.750 0.067 0.349
Er3 0.250 0.724 0.143
Er4 0.750 0.276 0.857
Sc1 0.250 0.419 0.586
Sc2 0.750 0.581 0.414
Pb1 0.250 0.240 0.126
Pb2 0.750 0.760 0.874

Theoretical density in g/cm³: 8.827



*Q*
The following is a PBE-GGA calculation of a relaxed structure of Er2ScPb, from Alexandria via LeMat-Bulk.

a = 3.454 Å, b = 3.454 Å, c = 11.796 Å
α = 81.58°, β = 81.58°, γ = 60.00°
Atoms (fractional coordinates):
Pb1 0.000 0.000 0.000
Sc1 0.500 0.500 0.500
Er1 0.091 0.091 0.727
Er2 0.909 0.909 0.273

Theoretical density in g/cm³: 8.111



*R*
The following is a PBE-GGA calculation of a relaxed structure of Er2ScPb, from Alexandria via LeMat-Bulk.

a = 5.312 Å, b = 5.312 Å, c = 5.312 Å
α = 60.00°, β = 60.00°, γ = 60.00°
Each line ends with the local moment (μB).
Atoms (fractional coordinates):
Er1 0.000 0.000 0.000  0.18
Er2 0.250 0.250 0.250  0.24
Sc1 0.500 0.500 0.500  0.23
Pb1 0.750 0.750 0.750  -0.01

Theoretical density in g/cm³: 9.192



*S*
The following is a PBE-GGA calculation of a relaxed structure of Er2ScPb, from Alexandria via LeMat-Bulk.

a = 4.095 Å, b = 4.095 Å, c = 6.509 Å
α = 90.00°, β = 90.00°, γ = 90.00°
Atoms (fractional coordinates):
Pb1 0.500 0.500 0.000
Sc1 0.500 0.500 0.500
Er1 0.000 0.000 0.753
Er2 0.000 0.000 0.247

Theoretical density in g/cm³: 8.925



Stability ranking, top entry: *P*; the second entry is 33 meV per atom less favorable.



*P*
The following is a PBE-GGA calculation of a relaxed structure of Er2ScPb, from Alexandria via LeMat-Bulk.

a = 4.720 Å, b = 4.751 Å, c = 4.751 Å
α = 90.00°, β = 90.00°, γ = 90.00°
Each line ends with the local moment (μB).
Atoms (fractional coordinates):
Pb1 0.500 0.500 0.500  -0.01
Sc1 0.500 0.000 0.000  0.36
Er1 0.000 0.000 0.500  0.28
Er2 0.000 0.500 0.000  0.28

Theoretical density in g/cm³: 9.145



*Q*
The following is a PBE-GGA calculation of a relaxed structure of Er2ScPb, from Alexandria via LeMat-Bulk.

a = 6.601 Å, b = 6.615 Å, c = 6.615 Å
α = 72.62°, β = 60.07°, γ = 60.07°
Atoms (fractional coordinates):
Er1 0.201 0.299 0.799
Er2 0.299 0.701 0.201
Er3 0.799 0.701 0.201
Er4 0.701 0.299 0.799
Sc1 0.750 0.192 0.308
Sc2 0.250 0.808 0.692
Pb1 0.250 0.196 0.304
Pb2 0.750 0.804 0.696

Theoretical density in g/cm³: 9.002



Stability ranking, top entry: *Q*; the second entry is 23 meV per atom less favorable.



*P*
The following is a PBE-GGA calculation of a relaxed structure of ErSc2Pb, from Alexandria via LeMat-Bulk.

a = 3.389 Å, b = 3.389 Å, c = 11.558 Å
α = 81.57°, β = 81.57°, γ = 60.00°
Atoms (fractional coordinates):
Pb1 0.000 0.000 0.000
Sc1 0.088 0.088 0.735
Sc2 0.912 0.912 0.265
Er1 0.500 0.500 0.500

Theoretical density in g/cm³: 6.805



*Q*
The following is a PBE-GGA calculation of a relaxed structure of ErSc2Pb, from Alexandria via LeMat-Bulk.

a = 4.124 Å, b = 6.294 Å, c = 8.782 Å
α = 90.00°, β = 90.00°, γ = 109.11°
Atoms (fractional coordinates):
Er1 0.949 0.898 0.250
Er2 0.051 0.102 0.750
Sc1 0.369 0.738 0.553
Sc2 0.631 0.262 0.447
Sc3 0.369 0.738 0.947
Sc4 0.631 0.262 0.053
Pb1 0.758 0.516 0.750
Pb2 0.242 0.484 0.250

Theoretical density in g/cm³: 7.161



Stability ranking, top entry: *Q*; the second entry is 336 meV per atom less favorable.